Entry 1:
Here is PuTlS2 after structural relaxation from Alexandria. Energies are from PBE.

```
4
Lattice="-3.204 0.307 1.388 -0.047 -3.444 0.651 3.068 1.245 6.807" Properties=species:S:1:pos:R:3 pbc="T T T"
Tl -0.092 -0.946 4.423
S 2.448 0.994 5.433
S 0.619 0.251 1.374
Pu -1.626 -1.569 1.020
```

Properties
- E: -7.288 eV per atom
- Density of states at the Fermi level: 7.1 states/eV/cell
- Raw formation energy: -4.20 eV/f.u.
- Space group: P4/mmm
- Total magnetization: 5.0 μB per cell

Entry 2:
Here is BeTeAs after structural relaxation from Alexandria. Energies are from PBE.

```
3
Lattice="0.115 1.908 6.206 -3.246 1.017 4.905 1.668 -2.359 2.332" Properties=species:S:1:pos:R:3 pbc="T T T"
Be -1.469 1.095 8.071
As 1.425 -2.091 2.778
Te 0.250 -0.798 4.926
```

Properties
- E: -3.501 eV per atom
- Density of states at the Fermi level: 1.2 states/eV/cell
- Raw formation energy: 1.01 eV/f.u.
- Space group: Fmm2
- Total magnetization: 0.0 μB per cell

Entry 3:
Here is PmTl2As2O6 after structural relaxation from Alexandria. Energies are from PBE.

```
11
Lattice="6.157 0.000 0.000 -3.079 5.037 -0.267 0.000 -3.124 6.909" Properties=species:S:1:pos:R:3 pbc="T T T"
Pm 3.079 -1.562 3.454
Tl 3.079 1.544 1.230
Tl 0.000 0.370 5.411
As 3.079 2.032 5.112
As 0.000 -0.118 1.529
O 3.079 0.760 3.884
O -1.705 3.852 1.602
O 1.373 -1.939 5.040
O 4.784 -1.939 5.040
O 1.705 3.852 1.602
O 0.000 1.154 2.758
```

Properties
- E: -5.988 eV per atom
- Density of states at the Fermi level: 4.2 states/eV/cell
- Raw formation energy: -17.34 eV/f.u.
- Space group: C2/m
- Total magnetization: 0.0 μB per cell